Below is a relaxed CoAsNO2 crystal, with properties calculated at the PBE+U level.

a = 3.7416 Å, b = 3.7416 Å, c = 3.6018 Å
α = 90.00°, β = 90.00°, γ = 90.00°
Closest atoms and distances in Å follow each position.
Space group P4/mmm (No. 123)
Symmetry-distinct sites (fractional):
1 Co 0.0000 0.0000 0.0000  2 N 1.80, 4 O 1.87
2 As 0.5000 0.5000 0.5000  8 O 2.60, 4 N 2.65
3 N 0.0000 0.0000 0.5000  2 Co 1.80
4 O 0.0000 0.5000 0.0000  2 Co 1.87

For the volume, the calculation gives 50 Å³ per cell. The value obtained for the calculated total energy is -25.972 eV per formula unit.